No. 1
PBE SrLa2CdOs, optimized geometry; symmetry = No. 123; relative energy among the computed polymorphs = 0 meV/atom; energy of formation from the pure elements = -0.033 eV/atom
1.0
5.496 0.000 0.000
0.000 5.496 0.000
0.000 0.000 6.052
Sr Cd Os La
1 1 1 2
Direct
0.000 0.000 0.500 Sr
0.500 0.500 0.500 Cd
0.000 0.000 0.000 Os
0.000 0.500 0.000 La
0.500 0.000 0.000 La



No. 2
PBE LaHfAu, optimized geometry; symmetry = No. 62; relative energy among the computed polymorphs = 7 meV/atom; energy of formation from the pure elements = -0.398 eV/atom
1.0
-1.348 -7.596 -2.719
2.322 -1.740 3.709
-6.785 -0.271 4.119
Hf Au La
4 4 4
Direct
0.139 0.250 0.430 Hf
0.361 0.750 0.930 Hf
0.861 0.750 0.570 Hf
0.639 0.250 0.070 Hf
0.802 0.250 0.384 Au
0.698 0.750 0.884 Au
0.198 0.750 0.616 Au
0.302 0.250 0.116 Au
0.022 0.250 0.845 La
0.478 0.750 0.345 La
0.978 0.750 0.155 La
0.522 0.250 0.655 La



No. 3
PBE Tl2InHg6, optimized geometry; symmetry = No. 58; relative energy among the computed polymorphs = 0 meV/atom; energy of formation from the pure elements = -0.002 eV/atom
1.0
-2.152 -5.213 -1.759
1.694 -3.512 8.338
-8.710 2.625 2.875
Tl In Hg
4 2 12
Direct
0.000 0.332 0.751 Tl
0.500 0.832 0.749 Tl
0.500 0.168 0.251 Tl
0.000 0.668 0.249 Tl
0.500 0.500 0.000 In
0.000 0.000 0.500 In
0.000 0.007 0.162 Hg
0.000 0.664 0.586 Hg
0.000 0.660 0.913 Hg
0.500 0.160 0.587 Hg
0.500 0.164 0.914 Hg
0.500 0.507 0.338 Hg
0.000 0.993 0.838 Hg
0.000 0.336 0.414 Hg
0.000 0.340 0.087 Hg
0.500 0.840 0.413 Hg
0.500 0.836 0.086 Hg
0.500 0.493 0.662 Hg



No. 4
PBE NaCo2Hg2, optimized geometry; symmetry = No. 139; relative energy among the computed polymorphs = 0 meV/atom; energy of formation from the pure elements = 0.249 eV/atom
1.0
3.282 0.000 0.000
0.000 3.282 0.000
1.641 1.641 9.249
Na Co Hg
1 2 2
Direct
0.000 0.000 0.000 Na
0.750 0.250 0.500 Co
0.250 0.750 0.500 Co
0.376 0.376 0.248 Hg
0.624 0.624 0.752 Hg



No. 5
PBE Ba2ThTlSe5, optimized geometry; symmetry = No. 36; formation energy from raw total energies = -1532 meV per atom
1.0
4.489 0.000 0.000
-2.245 9.507 0.000
0.000 0.000 13.787
Ba Th Tl Se
4 2 2 10
Direct
0.868 0.736 0.808 Ba
0.105 0.211 0.681 Ba
0.132 0.264 0.308 Ba
0.895 0.789 0.181 Ba
0.790 0.580 0.516 Th
0.210 0.420 0.016 Th
0.532 0.063 0.955 Tl
0.468 0.937 0.455 Tl
0.361 0.721 0.999 Se
0.692 0.384 0.876 Se
0.491 0.983 0.759 Se
0.281 0.561 0.655 Se
0.938 0.876 0.576 Se
0.639 0.279 0.499 Se
0.308 0.616 0.376 Se
0.509 0.017 0.259 Se
0.719 0.439 0.155 Se
0.062 0.124 0.076 Se



No. 6
PBE BaPrEuCd, optimized geometry; symmetry = No. 216; energy of formation from the pure elements = 0.030 eV/atom
1.0
5.948 0.000 0.000
2.974 5.151 0.000
2.974 1.717 4.856
Eu Pr Ba Cd
1 1 1 1
Direct
0.250 0.250 0.250 Eu
0.500 0.500 0.500 Pr
0.000 0.000 0.000 Ba
0.750 0.750 0.750 Cd



No. 7
PBE Na2In3PdAu12, optimized geometry; symmetry = No. 166; energy of formation from the pure elements = -0.092 eV/atom
1.0
-5.582 1.180 4.439
-3.444 -6.230 -1.259
2.630 -3.611 5.683
Na In Pd Au
2 3 1 12
Direct
0.684 0.684 0.684 Na
0.316 0.316 0.316 Na
0.500 0.000 0.000 In
0.000 0.500 0.000 In
0.000 0.000 0.500 In
0.000 0.000 0.000 Pd
0.405 0.405 0.890 Au
0.800 0.800 0.292 Au
0.292 0.800 0.800 Au
0.890 0.405 0.405 Au
0.800 0.292 0.800 Au
0.405 0.890 0.405 Au
0.595 0.595 0.110 Au
0.200 0.200 0.708 Au
0.708 0.200 0.200 Au
0.110 0.595 0.595 Au
0.200 0.708 0.200 Au
0.595 0.110 0.595 Au



No. 8
PBE Tb3TmTh5, optimized geometry; symmetry = No. 140; energy of formation from the pure elements = 0.451 eV/atom
1.0
-1.161 3.238 8.551
-0.955 -8.616 3.133
8.036 2.312 -4.752
Tb Tm Th
6 2 10
Direct
0.604 0.104 0.000 Tb
0.396 0.896 0.000 Tb
0.896 0.604 0.000 Tb
0.104 0.396 0.000 Tb
0.250 0.250 0.500 Tb
0.750 0.750 0.500 Tb
0.750 0.250 0.500 Tm
0.250 0.750 0.500 Tm
0.081 0.581 0.743 Th
0.662 0.162 0.743 Th
0.162 0.081 0.743 Th
0.581 0.662 0.743 Th
0.919 0.419 0.257 Th
0.338 0.838 0.257 Th
0.838 0.919 0.257 Th
0.419 0.338 0.257 Th
0.500 0.500 0.000 Th
0.000 0.000 0.000 Th



No. 9
PBE Cs2HSI, optimized geometry; symmetry = No. 11; energy = -0.2386 Ry/atom
1.0
-3.055 4.390 1.207
-0.127 -2.108 7.346
8.628 5.866 0.506
Cs H S I
4 2 2 2
Direct
0.750 0.775 0.640 Cs
0.750 0.743 0.100 Cs
0.250 0.225 0.360 Cs
0.250 0.257 0.900 Cs
0.250 0.638 0.773 H
0.750 0.362 0.227 H
0.250 0.763 0.877 S
0.750 0.237 0.123 S
0.250 0.727 0.367 I
0.750 0.273 0.633 I



No. 10
PBE ReTc2P, optimized geometry; symmetry = No. 47; energy of formation from the pure elements = 0.139 eV/atom
1.0
2.967 0.000 0.000
0.000 4.349 0.000
0.000 0.000 4.354
Re Tc P
1 2 1
Direct
0.000 0.500 0.500 Re
0.000 0.000 0.000 Tc
0.500 0.500 0.000 Tc
0.500 0.000 0.500 P



No. 11
PBE FeSe2S, optimized geometry; symmetry = No. 225; formation energy from raw total energies = 789 meV per atom; relative energy among the computed polymorphs = 692 meV/atom
1.0
0.000 3.155 3.155
3.155 0.000 3.155
3.155 3.155 0.000
S Fe Se
1 1 2
Direct
0.000 0.000 0.000 S
0.500 0.500 0.500 Fe
0.250 0.250 0.250 Se
0.750 0.750 0.750 Se



No. 12
PBE DyZnGa, optimized geometry; symmetry = No. 216; energy of formation from the pure elements = -0.410 eV/atom
1.0
4.515 0.000 0.000
2.257 3.910 0.000
2.257 1.303 3.686
Zn Ga Dy
1 1 1
Direct
0.250 0.250 0.250 Zn
0.000 0.000 0.000 Ga
0.500 0.500 0.500 Dy



No. 13
PBE Ac2InAgO5, optimized geometry; symmetry = No. 36; formation energy from raw total energies = -2135 meV per atom
1.0
-2.744 -2.038 1.112
3.216 -4.132 -5.443
6.378 -4.619 7.275
Ac In Ag O
4 2 2 10
Direct
0.868 0.736 0.793 Ac
0.110 0.220 0.686 Ac
0.132 0.264 0.293 Ac
0.890 0.780 0.186 Ac
0.794 0.588 0.503 In
0.206 0.412 0.003 In
0.526 0.053 0.966 Ag
0.474 0.947 0.466 Ag
0.353 0.706 0.005 O
0.699 0.398 0.868 O
0.499 0.998 0.763 O
0.280 0.560 0.663 O
0.928 0.856 0.577 O
0.647 0.294 0.505 O
0.301 0.602 0.368 O
0.501 0.002 0.263 O
0.720 0.440 0.163 O
0.072 0.144 0.077 O



No. 14
PBE HfWAu2, optimized geometry; symmetry = No. 122; relative energy among the computed polymorphs = 290 meV/atom; energy of formation from the pure elements = 0.501 eV/atom
1.0
3.941 0.000 0.000
0.000 3.941 0.000
1.971 1.971 10.014
Hf Au W
2 4 2
Direct
0.500 0.500 0.000 Hf
0.250 0.750 0.500 Hf
0.631 0.125 0.250 Au
0.119 0.625 0.250 Au
0.375 0.369 0.750 Au
0.875 0.881 0.750 Au
0.000 0.000 0.000 W
0.750 0.250 0.500 W



No. 15
PBE KAlInAs2, optimized geometry; symmetry = No. 123; energy of formation from the pure elements = 1.245 eV/atom
1.0
-3.779 1.762 -4.007
3.199 -2.548 -4.137
-3.008 -4.892 0.686
As Al K In
2 1 1 1
Direct
0.000 0.000 0.500 As
0.500 0.000 0.000 As
0.500 0.500 0.500 Al
0.000 0.000 0.000 K
0.000 0.500 0.000 In